[1]
SrP2Au | PBE | optimized geometry

Cell lengths 5.158, 5.158, 3.105 Å; angles 90.00, 90.00, 92.14 degrees
Positions (direct):
Sr 0.500 0.000 0.500
P 0.500 0.500 0.000
Au 0.000 0.500 0.500
P 0.000 0.000 0.000

## Properties
- Energy above the lowest structure with this stoichiometry: 536 meV/atom
- Energy of formation: -0.118 eV per formula unit
- Spin magnetization: 0.00 Bohr magnetons per cell

***

[2]
SrP2Au | PBE | optimized geometry

Cell lengths 4.002, 4.678, 5.135 Å; angles 85.27, 90.00, 90.00 degrees
Positions (direct):
P 0.000 0.669 0.462
Sr 0.500 0.250 0.250
P 0.000 0.831 0.038
Au 0.500 0.750 0.750

## Properties
- Energy above the lowest structure with this stoichiometry: 0 meV/atom
- Energy of formation: -2.261 eV per formula unit
- Spin magnetization: 0.00 Bohr magnetons per cell

***

[3]
SrP2Au | PBE | optimized geometry

Cell lengths 5.604, 5.604, 5.604 Å; angles 136.10, 136.10, 63.83 degrees
Positions (direct):
P 0.000 0.000 0.000
Sr 0.500 0.500 0.000
Au 0.750 0.250 0.500
P 0.250 0.750 0.500

## Properties
- Energy above the lowest structure with this stoichiometry: 521 meV/atom
- Energy of formation: -0.176 eV per formula unit
- Spin magnetization: 0.00 Bohr magnetons per cell

***

[4]
Sr5PAu | PBE | optimized geometry

Cell lengths 4.389, 8.223, 16.096 Å; angles 87.96, 90.00, 90.00 degrees
Positions (direct):
Sr 0.250 0.712 0.503
Au 0.750 0.107 0.143
Sr 0.750 0.900 0.701
P 0.250 0.424 0.383
Sr 0.250 0.100 0.299
Sr 0.250 0.369 0.093
Sr 0.750 0.631 0.907
Sr 0.750 0.593 0.285
Sr 0.250 0.863 0.080
P 0.750 0.576 0.617
Sr 0.750 0.137 0.920
Sr 0.250 0.407 0.715
Au 0.250 0.893 0.857
Sr 0.750 0.288 0.497

## Properties
- Energy of formation: -4.135 eV per formula unit
- Spin magnetization: 0.00 Bohr magnetons per cell